# 1
Crystalline Li2TlRhC at its relaxed geometry, computed with PBE.

a b c (Å): 4.3398 4.3398 3.8785
angles (deg): 90.00 90.00 90.00
Fractional positions:
Li: 0.0000 0.5000 0.0000
Li: 0.5000 0.0000 0.0000
Tl: 0.0000 0.0000 0.5000
Rh: 0.5000 0.5000 0.5000
C: 0.5000 0.5000 0.0000

Properties
The calculation puts the total energy at -4.5142 eV/atom. For the energy relative to the elements, the calculation gives 40 meV/atom. The space-group type is P4/mmm. The magnetization is 0.00 μB/f.u.

# 2
Crystalline SrCaSe2O8 at its relaxed geometry, computed with PBE.

a b c (Å): 8.0863 8.0863 8.0863
angles (deg): 37.68 37.68 37.68
Fractional positions:
Sr: 0.0000 0.0000 0.0000
Ca: 0.5000 0.5000 0.5000
Se: 0.2533 0.2533 0.2533
Se: 0.7467 0.7467 0.7467
O: 0.0600 0.4503 0.7976
O: 0.2024 0.9400 0.5497
O: 0.3276 0.3276 0.3276
O: 0.4503 0.7976 0.0600
O: 0.5497 0.2024 0.9400
O: 0.6724 0.6724 0.6724
O: 0.7976 0.0600 0.4503
O: 0.9400 0.5497 0.2024

Properties
The calculation puts the total energy at -5.7977 eV/atom. The energy relative to the elements, uncorrected is -19.3 eV/f.u. The space-group type is R-3. The magnetization is 0.00 μB/f.u.

# 3
Crystalline PmNdN2 at its relaxed geometry, computed with PBE.

a b c (Å): 6.5213 6.5213 6.5213
angles (deg): 31.71 31.71 31.71
Fractional positions:
Pm: 0.0000 0.0000 0.0000
Nd: 0.1702 0.1702 0.1702
N: 0.5769 0.5769 0.5769
N: 0.7440 0.7440 0.7440

Properties
The calculation puts the total energy at -7.7298 eV/atom. The calculation puts the energy relative to the lowest polymorph listed for this composition at 210.0 meV per atom. The energy relative to the elements, uncorrected is -4.8 eV/f.u. The space-group type is R3m. The magnetization is 0.00 μB/f.u.

# 4
Crystalline SrTeH2Pd at its relaxed geometry, computed with PBE.

a b c (Å): 4.1410 4.1410 6.8289
angles (deg): 90.00 90.00 90.00
Fractional positions:
Sr: 0.0000 0.0000 0.0000
Te: 0.0000 0.0000 0.5000
H: 0.0000 0.5000 0.5000
H: 0.5000 0.0000 0.5000
Pd: 0.5000 0.5000 0.0000

Properties
The calculation puts the total energy at -3.1701 eV/atom. The space-group type is P4/mmm. The magnetization is 0.00 μB/f.u.

# 5
Crystalline AgHgTe2 at its relaxed geometry, computed with PBE.

a b c (Å): 3.2677 5.0095 7.0261
angles (deg): 90.00 92.19 90.00
Fractional positions:
Ag: 0.0000 0.0000 0.0000
Hg: 0.5265 0.5000 0.7922
Te: 0.3540 0.0000 0.5988
Te: 0.9121 0.5000 0.1878

Properties
The calculation puts the total energy at -2.3128 eV/atom. The energy relative to the elements, uncorrected is 0.2 eV/f.u. The space-group type is Pm. The magnetization is 0.00 μB/f.u.

# 6
Crystalline TlGeSe2 at its relaxed geometry, computed with PBE.

a b c (Å): 7.1330 7.1330 7.1330
angles (deg): 117.73 117.73 93.97
Fractional positions:
Tl: 0.0000 0.0000 0.0000
Tl: 0.7500 0.2500 0.5000
Ge: 0.2500 0.7500 0.5000
Ge: 0.5000 0.5000 0.0000
Se: 0.2054 0.6250 0.0804
Se: 0.3750 0.4554 0.5804
Se: 0.5446 0.1250 0.9196
Se: 0.8750 0.7946 0.4196

Properties
The calculation puts the total energy at -3.6798 eV/atom. The energy relative to the elements, uncorrected is -0.8 eV/f.u. The space-group type is I-42d. The magnetization is 0.00 μB/f.u.